[1]
This record from Alexandria via LeMat-Bulk describes a relaxed LiPr3Cu8 crystal. The functional is PBE.

Calculated values
The calculation puts the volume at 17.4 Å³ per atom. For the formation energy from the elements, the calculation gives -0.096 eV/atom. The calculation puts the size of the total moment at 0.00 Bohr magnetons per cell.

a b c (Å): 9.235 9.235 9.235
angles (deg): 33.09 33.09 33.09
Fractional coordinates of all 12 atoms:
Li 0.000 0.000 0.000
Pr 0.364 0.364 0.364
Pr 0.490 0.490 0.490
Pr 0.880 0.880 0.880
Cu 0.184 0.184 0.184
Cu 0.429 0.932 0.932
Cu 0.440 0.440 0.926
Cu 0.440 0.926 0.440
Cu 0.682 0.682 0.682
Cu 0.926 0.440 0.440
Cu 0.932 0.429 0.932
Cu 0.932 0.932 0.429

[2]
This record from Alexandria via LeMat-Bulk describes a relaxed Li2PrCu2 crystal. The functional is PBE.

Calculated values
The calculation puts the volume at 20.0 Å³ per atom. For the formation energy from the elements, the calculation gives -0.050 eV/atom. The calculation puts the size of the total moment at 0.00 Bohr magnetons per cell. Its offset from the most stable computed form is 0.048 eV/atom.

a b c (Å): 5.438 5.438 5.065
angles (deg): 108.61 108.61 45.29
Fractional coordinates of all 5 atoms:
Li 0.155 0.155 0.067
Li 0.845 0.845 0.933
Pr 0.500 0.500 0.500
Cu 0.229 0.229 0.615
Cu 0.771 0.771 0.385

[3]
This record from Alexandria via LeMat-Bulk describes a relaxed LiPrCu crystal. The functional is PBE.

Calculated values
The calculation puts the volume at 22.0 Å³ per atom. For the formation energy from the elements, the calculation gives -0.060 eV/atom. The calculation puts the size of the total moment at 0.28 Bohr magnetons per cell. Its offset from the most stable computed form is 0.000 eV/atom.

a b c (Å): 3.955 3.955 8.448
angles (deg): 90.00 90.00 90.00
Fractional coordinates of all 6 atoms:
Li 0.250 0.750 0.000
Li 0.750 0.250 0.000
Pr 0.250 0.250 0.351
Pr 0.750 0.750 0.649
Cu 0.250 0.250 0.774
Cu 0.750 0.750 0.226

[4]
This record from Alexandria via LeMat-Bulk describes a relaxed Li4PrCu crystal. The functional is PBE.

Calculated values
The calculation puts the volume at 18.6 Å³ per atom. For the formation energy from the elements, the calculation gives 0.103 eV/atom. The calculation puts the size of the total moment at 0.00 Bohr magnetons per cell.

a b c (Å): 5.403 5.403 5.403
angles (deg): 60.00 60.00 60.00
Fractional coordinates of all 6 atoms:
Li 0.378 0.378 0.378
Li 0.378 0.378 0.865
Li 0.378 0.865 0.378
Li 0.865 0.378 0.378
Pr 0.000 0.000 0.000
Cu 0.750 0.750 0.750

> Look up the volume of the fourth one.

18.6 Å³ per atom